{"formula": "AcPaV2O8", "functional": "GGA+U", "state": "relaxed", "lattice": [[6.206, 0.101, 0.000], [-2.662, 5.607, 0.000], [-1.772, -2.854, 5.219]], "species": ["O", "O", "O", "O", "O", "O", "O", "O", "Pa", "V", "V", "Ac"], "frac_coords": [[0.468, 0.677, 0.791], [0.886, 0.677, 0.209], [0.752, 0.078, 0.674], [0.403, 0.078, 0.326], [0.323, 0.532, 0.209], [0.922, 0.597, 0.674], [0.323, 0.114, 0.791], [0.922, 0.248, 0.326], [0.250, 0.750, 0.500], [0.500, 0.500, 0.000], [0.750, 0.250, 0.500], [0.000, 0.000, 0.000]], "total_magnetization_mub_per_fu": 2.000, "final_energy_ev_per_atom": -8.436, "space_group": "No. 119"}